Entry 1:
# CaNi5H

A relaxed structure of CaNi5H (GGA-PBE, the Alexandria database).

Calculated values
E above lowest polymorph = 0.031 eV per atom
D(E_F) = 8.6 states/eV/cell
electronic total energy = -4.9888 eV/atom

Cell: 4.9616 4.9616 3.9647 Å, 90.00 90.00 118.99°
Last column: nearest neighbours and their distance in Å.
Element x y z (fractional)
Ni 0.6620 0.3380 0.0000  6 Ni 2.43-2.45
Ni 0.3389 0.6611 0.0000  6 Ni 2.40-2.49, 2 H 2.60
Ni 0.5048 0.0069 0.5000  1 H 1.58
Ni 0.4973 0.5027 0.5000  8 Ni 2.40-2.48
Ni 0.9931 0.4952 0.5000  1 H 1.58
Ca 0.9978 0.0022 0.0000  2 H 2.34
H 0.1423 0.8577 0.5000  2 Ni 1.58

---

Entry 2:
# Cr2SiBr

A relaxed structure of Cr2SiBr (GGA-PBE, the Alexandria database).

Calculated values
E above lowest polymorph = 0.069 eV per atom
D(E_F) = 2.6 states/eV/cell
electronic total energy = -6.3699 eV/atom

Cell: 3.0464 3.2761 7.0973 Å, 89.97 90.00 90.00°
Last column: nearest neighbours and their distance in Å.
Element x y z (fractional)
Cr 0.0000 0.7490 0.4419  4 Si 2.62, 2 Br 2.67, 1 Cr 2.72
Cr 0.0000 0.7510 0.0581  4 Si 2.62, 2 Br 2.67, 1 Cr 2.72
Br 0.5000 0.7500 0.7500  4 Cr 2.67
Si 0.5000 0.2500 0.2500  8 Cr 2.62

---

Entry 3:
# SiP4

A relaxed structure of SiP4 (GGA-PBE, the Alexandria database).

Calculated values
E above lowest polymorph = 0.000 eV per atom
D(E_F) = 1.3 states/eV/cell
electronic total energy = -4.7652 eV/atom

Cell: 4.7924 4.7924 4.7924 Å, 109.47 109.47 109.47°
Last column: nearest neighbours and their distance in Å.
Element x y z (fractional)
P 0.0000 0.5000 0.0000  2 Si 2.40
P 0.5000 0.5000 0.5000  2 Si 2.40
P 0.5000 0.0000 0.0000  2 Si 2.40
P 0.0000 0.0000 0.5000  2 Si 2.40
Si 0.0000 0.0000 0.0000  8 P 2.40

---

Entry 4:
# Nb2ZnCoH

A relaxed structure of Nb2ZnCoH (GGA-PBE, the Alexandria database).

Calculated values
E above lowest polymorph = 0.000 eV per atom
D(E_F) = 3.8 states/eV/cell
electronic total energy = -6.4681 eV/atom

Cell: 4.1018 4.1018 3.7580 Å, 90.00 90.00 90.00°
Last column: nearest neighbours and their distance in Å.
Element x y z (fractional)
Nb 0.0000 0.5000 0.0000  2 H 2.05
Nb 0.5000 0.0000 0.0000  2 H 2.05
Co 0.0000 0.0000 0.5000  2 H 1.88
Zn 0.5000 0.5000 0.5000  8 Nb 2.78, 4 Co 2.90
H 0.0000 0.0000 0.0000  2 Co 1.88, 4 Nb 2.05

---

Entry 5:
# NbSiNi2Cl

A relaxed structure of NbSiNi2Cl (GGA-PBE, the Alexandria database).

Calculated values
D(E_F) = 3.6 states/eV/cell
electronic total energy = -5.1884 eV/atom

Cell: 4.0647 4.7440 4.0647 Å, 90.00 90.00 90.00°
Last column: nearest neighbours and their distance in Å.
Element x y z (fractional)
Si 0.5000 0.5000 0.5000  4 Nb 2.87, 8 Ni 3.12
Cl 0.0000 0.0000 0.0000  4 Ni 2.03
Nb 0.0000 0.5000 0.0000  2 Cl 2.37
Ni 0.5000 0.0000 0.0000  2 Cl 2.03
Ni 0.0000 0.0000 0.5000  2 Cl 2.03

---

Entry 6:
# Rb3Tm2MnSe6

A relaxed structure of Rb3Tm2MnSe6 (GGA-PBE, the Alexandria database).

Calculated values
D(E_F) = 0.5 states/eV/cell
electronic total energy = -4.8401 eV/atom

Cell: 7.0687 7.0687 8.3493 Å, 98.99 98.99 118.07°
Last column: nearest neighbours and their distance in Å.
Element x y z (fractional)
Rb 0.5000 0.5000 0.5000  6 Se 3.39-3.41
Rb 0.1725 0.8275 0.5000  6 Se 3.37-3.54
Rb 0.8275 0.1725 0.5000  6 Se 3.37-3.54
Tm 0.6625 0.3375 0.0000  6 Se 2.81-2.92
Tm 0.3375 0.6625 0.0000  6 Se 2.81-2.92
Mn 0.0000 0.0000 0.0000  4 Se 2.59
Se 0.2686 0.2686 0.7960  2 Tm 2.81, 1 Mn 2.96
Se 0.7314 0.7314 0.2040  2 Tm 2.81, 1 Mn 2.96
Se 0.3665 0.0584 0.1795  1 Mn 2.59, 1 Tm 2.86
Se 0.9416 0.6335 0.8205  1 Mn 2.59, 1 Tm 2.86
Se 0.0584 0.3665 0.1795  1 Mn 2.59, 1 Tm 2.86
Se 0.6335 0.9416 0.8205  1 Mn 2.59, 1 Tm 2.86

---

Entry 7:
# InAgBi2Se5

A relaxed structure of InAgBi2Se5 (GGA-PBE, the Alexandria database).

Calculated values
electronic total energy = -3.7496 eV/atom

Cell: 4.1387 9.4261 13.5210 Å, 90.00 90.00 102.68°
Last column: nearest neighbours and their distance in Å.
Element x y z (fractional)
Se 0.5046 0.0092 0.7838  1 Ag 2.63, 2 Bi 2.83
Se 0.4954 0.9908 0.2838  1 Ag 2.63, 2 Bi 2.83
Se 0.9363 0.8726 0.5418  2 Ag 2.66, 1 In 2.72, 1 Bi 2.76
Se 0.7032 0.4065 0.1510  1 Bi 2.73, 2 In 2.96
Se 0.0637 0.1274 0.0418  2 Ag 2.66, 1 In 2.72, 1 Bi 2.76
Se 0.7277 0.4554 0.8641  2 In 2.75
Se 0.6438 0.2875 0.5625  1 Ag 2.66, 2 Bi 2.86, 1 In 2.88
Se 0.3562 0.7125 0.0625  1 Ag 2.66, 2 Bi 2.86, 1 In 2.88
Se 0.2968 0.5935 0.6510  1 Bi 2.73, 2 In 2.96
Se 0.2723 0.5446 0.3641  2 In 2.75
Bi 0.1543 0.3085 0.7079  3 Se 2.73-2.86
Bi 0.8457 0.6915 0.2079  3 Se 2.73-2.86
Bi 0.9041 0.8082 0.7410  3 Se 2.76-2.83
Bi 0.0959 0.1918 0.2410  3 Se 2.76-2.83
Ag 0.5135 0.0271 0.4768  4 Se 2.63-2.66
Ag 0.4865 0.9729 0.9768  4 Se 2.63-2.66
In 0.7925 0.5849 0.4950  6 Se 2.72-2.96
In 0.2075 0.4151 0.9950  6 Se 2.72-2.96

---

Entry 8:
# LaHfAs2Rh5

A relaxed structure of LaHfAs2Rh5 (GGA-PBE, the Alexandria database).

Calculated values
ΔH_f (0 K) = -5.93 eV/f.u.
D(E_F) = 3.8 states/eV/cell
electronic total energy = -7.4297 eV/atom

Cell: 4.1098 4.1098 10.7372 Å, 90.00 90.00 90.00°
Last column: nearest neighbours and their distance in Å.
Element x y z (fractional)
Rh 0.5000 0.0000 0.8369  2 As 2.39
Rh 0.5000 0.5000 0.5000  2 As 2.39
Rh 0.5000 0.0000 0.1631  2 As 2.39
Rh 0.0000 0.5000 0.1631  2 As 2.39
Rh 0.0000 0.5000 0.8369  2 As 2.39
Hf 0.0000 0.0000 0.0000  8 Rh 2.70
As 0.5000 0.5000 0.7227  5 Rh 2.39
As 0.5000 0.5000 0.2773  5 Rh 2.39
La 0.0000 0.0000 0.5000  4 Rh 2.91

---

The lowest electronic total energy belongs to which entry?
LaHfAs2Rh5

---

What is the electronic total energy in the seventh record?
-3.7496 eV/atom

---

What is the electronic total energy in the third record?
-4.7652 eV/atom